1.
Entry from the Alexandria database: an optimized crystal structure of PmTmAl3 (PBE-GGA).

Output
**Fermi-level density of states**: 3.1 states/eV/f.u.
**Electronic total energy**: -4.54 eV/atom
**Energy relative to the elements**: -0.45 eV per atom
**Size of the total moment**: 0.0584 μB/atom

a b c (Å): 4.5535 3.6245 13.8981
angles (deg): 97.49 90.00 90.00
Each line ends with the local moment (μB).
Fractional positions:
Pm 0.2500 0.0731 0.1462  0.01
Pm 0.7500 0.9269 0.8538  0.01
Tm 0.2500 0.7881 0.5761  0.19
Tm 0.7500 0.2119 0.4239  0.19
Al 0.2500 0.3789 0.7577  0.00
Al 0.7500 0.6211 0.2423  0.00
Al 0.2500 0.4757 0.9514  0.00
Al 0.7500 0.5243 0.0486  0.00
Al 0.7500 0.3260 0.6521  0.00
Al 0.2500 0.6740 0.3479  0.00


2.
Entry from the Alexandria database: an optimized crystal structure of Pm4TmAl5 (PBE-GGA).

Output
**Fermi-level density of states**: 3.7 states/eV/f.u.
**Electronic total energy**: -4.59 eV/atom
**Energy relative to the elements**: -0.37 eV per atom
**Size of the total moment**: 0.0000 μB/atom

a b c (Å): 3.6654 3.6654 18.4068
angles (deg): 90.00 90.00 90.00
Fractional positions:
Pm 0.0000 0.0000 0.1941
Pm 0.0000 0.0000 0.3982
Pm 0.0000 0.0000 0.6018
Pm 0.0000 0.0000 0.8059
Tm 0.0000 0.0000 0.0000
Al 0.5000 0.5000 0.0900
Al 0.5000 0.5000 0.2963
Al 0.5000 0.5000 0.5000
Al 0.5000 0.5000 0.7037
Al 0.5000 0.5000 0.9100


3.
Entry from the Alexandria database: an optimized crystal structure of PmTmAl6 (PBE-GGA).

Output
**Fermi-level density of states**: 3.3 states/eV/f.u.
**Electronic total energy**: -4.38 eV/atom
**Energy relative to the elements**: -0.42 eV per atom
**Polymorph energy (0 for the lowest one)**: 0.0000 eV/atom
**Size of the total moment**: 0.0000 μB/atom

a b c (Å): 4.6648 6.2884 6.2884
angles (deg): 119.93 90.00 90.00
Fractional positions:
Pm 0.5000 0.4164 0.5836
Tm 0.0000 0.0836 0.9164
Al 0.0000 0.0383 0.3940
Al 0.0000 0.6060 0.9617
Al 0.0000 0.6056 0.3944
Al 0.5000 0.4554 0.1031
Al 0.5000 0.8969 0.5446
Al 0.5000 0.8976 0.1024


4.
Entry from the Alexandria database: an optimized crystal structure of PmTm2Al (PBE-GGA).

Output
**Fermi-level density of states**: 4.1 states/eV/f.u.
**Electronic total energy**: -4.55 eV/atom
**Energy relative to the elements**: -0.19 eV per atom
**Polymorph energy (0 for the lowest one)**: 0.0146 eV/atom
**Size of the total moment**: 0.0000 μB/atom

a b c (Å): 5.2910 6.8306 6.8306
angles (deg): 119.84 90.00 90.00
Fractional positions:
Pm 0.5000 0.6481 0.8233
Pm 0.5000 0.1767 0.3519
Tm 0.5000 0.1735 0.8265
Tm 0.0000 0.3507 0.1723
Tm 0.0000 0.8277 0.6493
Tm 0.0000 0.8271 0.1729
Al 0.5000 0.6681 0.3319
Al 0.0000 0.3283 0.6717


5.
Entry from the Alexandria database: an optimized crystal structure of PmTm3Al4 (PBE-GGA).

Output
**Fermi-level density of states**: 2.9 states/eV/f.u.
**Electronic total energy**: -4.52 eV/atom
**Energy relative to the elements**: -0.38 eV per atom
**Size of the total moment**: 0.0000 μB/atom

a b c (Å): 5.0519 7.2426 10.1039
angles (deg): 90.00 90.00 90.00
Fractional positions:
Tm 0.0000 0.0000 0.0000
Tm 0.0000 0.0000 0.5000
Tm 0.4992 0.0000 0.7500
Tm 0.5008 0.0000 0.2500
Tm 0.4992 0.5000 0.7500
Tm 0.5008 0.5000 0.2500
Al 0.5000 0.7588 0.0000
Al 0.5000 0.7588 0.5000
Al 0.5000 0.2412 0.0000
Al 0.5000 0.2412 0.5000
Al 0.9990 0.7588 0.7500
Al 0.0010 0.7588 0.2500
Al 0.0010 0.2412 0.2500
Al 0.9990 0.2412 0.7500
Pm 0.0000 0.5000 0.0000
Pm 0.0000 0.5000 0.5000


6.
Entry from the Alexandria database: an optimized crystal structure of Pm2Tm2Al (PBE-GGA).

Output
**Fermi-level density of states**: 6.2 states/eV/f.u.
**Electronic total energy**: -3.97 eV/atom
**Energy relative to the elements**: 0.46 eV per atom
**Polymorph energy (0 for the lowest one)**: 0.6192 eV/atom
**Size of the total moment**: 0.0000 μB/atom

a b c (Å): 4.2561 4.2561 9.2311
angles (deg): 103.33 103.33 90.00
Fractional positions:
Pm 0.7500 0.2500 0.5000
Pm 0.2500 0.7500 0.5000
Tm 0.4143 0.4143 0.8286
Tm 0.5857 0.5857 0.1714
Al 0.0000 0.0000 0.0000


Which value of electronic total energy does entry 4 give?
-4.55 eV/atom


What is the energy relative to the elements in the fourth record?
-0.19 eV per atom